# MnBiBSe2 (GGA-PBE, optimized geometry)
# Calculated volume ... 18.11 Å³/atom
# E_tot ... -0.3377 Ry per atom
# Magnetization ... 0.098 μB per cell
# Theoretical density ... 7.93 Mg/m³
data_MnBiBSe2
_chemical_formula_sum 'Mn1 Bi1 B1 Se2'
_cell_length_a 4.789
_cell_length_b 4.789
_cell_length_c 3.950
_cell_angle_alpha 90.00
_cell_angle_beta 90.00
_cell_angle_gamma 90.00
_symmetry_space_group_name_H-M 'P 4/m m m'
_symmetry_Int_Tables_number 123
_symmetry_space_group_name_Hall '-P 4 2'
loop_
_atom_site_label
_atom_site_fract_x
_atom_site_fract_y
_atom_site_fract_z
_atom_site_occupancy
Mn1 0.000 0.000 0.000 1
Bi1 0.500 0.500 0.000 1
B1 0.000 0.000 0.500 1
Se1 0.000 0.500 0.500 1